one) ## KNbHg (GGA-PBE)

Data for KNbHg after structural relaxation.

Lattice parameters (Å, degrees): 7.3891 7.3891 7.3891 90.00 90.00 90.00
Last column: nearest neighbours and their distance in Å.
Space group F-43m (No. 216)
One atom of each set of equivalent atoms:
K1 0.0000 0.0000 0.0000  4 Hg 3.20
Nb1 0.0000 0.0000 0.5000  4 Hg 3.20
Hg1 0.2500 0.2500 0.2500  4 Nb 3.20, 4 K 3.20

Values from the calculation:
The value obtained for the mass density is 5.5 g cm⁻³. The size of the total moment is 1.340 μB per atom.


two) ## KNbHg (GGA-PBE)

Data for KNbHg after structural relaxation.

Lattice parameters (Å, degrees): 7.6074 7.6074 7.6074 90.00 90.00 90.00
Last column: nearest neighbours and their distance in Å.
Space group F-43m (No. 216)
One atom of each set of equivalent atoms:
K1 0.0000 0.0000 0.0000  4 Nb 3.29, 4 Hg 3.29
Nb1 0.2500 0.2500 0.2500  4 K 3.29
Hg1 0.2500 0.2500 0.7500  4 K 3.29

Values from the calculation:
The value obtained for the mass density is 5.0 g cm⁻³. The size of the total moment is 1.489 μB per atom.


Most favorable structure: one). The second most favorable one is 0.441 eV/atom above it.